A geometry-optimized HoHfNpO6 structure. Source: Alexandria, functional GGA-PBE.

Structure (extended XYZ):
```
18
Lattice="5.588 0.000 0.000 -2.794 4.840 0.000 0.000 0.000 9.476" Properties=species:S:1:pos:R:3 pbc="T T T"
Ho 0.000 0.000 0.000
Ho 0.000 0.000 4.738
Hf 0.000 3.226 2.369
Hf 2.794 1.613 7.107
Np 0.000 3.226 7.107
Np 2.794 1.613 2.369
O -0.940 1.696 1.282
O -1.795 3.178 3.456
O 0.940 1.696 3.456
O -0.855 4.805 1.282
O 1.939 0.034 6.020
O 0.999 1.662 8.193
O 1.795 3.178 1.282
O 0.855 4.805 3.456
O 3.650 0.034 8.193
O 1.854 3.143 6.020
O 4.589 1.662 6.020
O 3.734 3.143 8.193
```

**Density of states at the Fermi level**: 17.7 states/eV per cell
**Total energy**: -9.609 eV per atom
**Theoretical density**: 8766 kg/m³
**Space-group type**: P-31c, No. 163

A geometry-optimized Ho2HfNpP4 structure. Source: Alexandria, functional GGA-PBE.

Structure (extended XYZ):
```
8
Lattice="6.732 0.000 0.000 0.000 3.895 0.000 -2.225 0.000 6.380" Properties=species:S:1:pos:R:3 pbc="T T T"
Ho 0.000 0.000 0.000
Ho 3.366 1.947 0.000
Hf -1.112 1.947 3.190
Np 2.254 0.000 3.190
P -0.029 0.000 4.696
P 1.077 1.947 1.654
P 3.431 1.947 4.726
P 4.537 0.000 1.684
```

**Density of states at the Fermi level**: 9.2 states/eV per cell
**Total energy**: -8.057 eV per atom
**Theoretical density**: 8628 kg/m³
**Space-group type**: P2/m, No. 10

A geometry-optimized Ho2Hf2O5 structure. Source: Alexandria, functional GGA-PBE.

Structure (extended XYZ):
```
9
Lattice="4.092 0.000 0.000 0.000 4.092 0.000 0.000 0.000 7.434" Properties=species:S:1:pos:R:3 pbc="T T T"
Ho 0.000 0.000 0.000
Ho 0.000 0.000 3.717
Hf 2.046 2.046 1.637
Hf 2.046 2.046 5.797
O 0.000 2.046 1.946
O 0.000 2.046 5.488
O 2.046 0.000 1.946
O 2.046 0.000 5.488
O 2.046 2.046 3.717
```

**Density of states at the Fermi level**: 2.2 states/eV per cell
**Total energy**: -8.702 eV per atom
**Theoretical density**: 10229 kg/m³
**Space-group type**: P4/mmm, No. 123

A geometry-optimized Ho4Hf6O19 structure. Source: Alexandria, functional GGA-PBE.

Structure (extended XYZ):
```
29
Lattice="-4.657 4.657 4.657 4.657 -4.657 4.657 4.657 4.657 -4.657" Properties=species:S:1:pos:R:3 pbc="T T T"
Ho 1.352 1.352 -1.352
Ho 1.352 -1.352 1.352
Ho -1.352 1.352 1.352
Ho 3.305 3.305 3.305
Hf 4.657 1.599 0.000
Hf 4.657 0.000 3.058
Hf 3.058 4.657 0.000
Hf 1.599 0.000 4.657
Hf 0.000 4.657 1.599
Hf 0.000 3.058 4.657
O 0.000 0.000 0.000
O 3.308 0.000 0.000
O 6.006 0.000 0.000
O 5.109 -1.758 2.020
O 2.899 2.637 -0.451
O 2.637 -0.451 2.899
O 6.415 2.637 0.451
O 0.000 3.308 0.000
O 0.000 0.000 3.308
O 2.020 5.109 -1.758
O 4.206 1.758 2.020
O -0.451 2.899 2.637
O 2.020 4.206 1.758
O 0.000 6.006 0.000
O 0.000 0.000 6.006
O 1.758 2.020 4.206
O 2.637 0.451 6.415
O -1.758 2.020 5.109
O 0.451 6.415 2.637
```

**Density of states at the Fermi level**: 20.8 states/eV per cell
**Total energy**: -9.196 eV per atom
**Theoretical density**: 8362 kg/m³
**Space-group type**: I23, No. 197

A geometry-optimized HoHfO structure. Source: Alexandria, functional GGA-PBE.

Structure (extended XYZ):
```
6
Lattice="1.836 -10.219 0.000 1.836 10.219 0.000 0.000 0.000 3.416" Properties=species:S:1:pos:R:3 pbc="T T T"
Ho 1.836 8.609 2.562
Ho 1.836 -8.609 0.854
Hf 1.836 4.003 2.562
Hf 1.836 -4.003 0.854
O 1.836 2.743 0.854
O 1.836 -2.743 2.562
```

**Density of states at the Fermi level**: 4.8 states/eV per cell
**Total energy**: -8.190 eV per atom
**Theoretical density**: 9311 kg/m³
**Space-group type**: Cmcm, No. 63

A geometry-optimized HoPuHfO6 structure. Source: Alexandria, functional GGA-PBE.

Structure (extended XYZ):
```
18
Lattice="5.574 0.000 0.000 -2.787 4.827 0.000 0.000 0.000 9.495" Properties=species:S:1:pos:R:3 pbc="T T T"
Ho 0.000 0.000 0.000
Ho 0.000 0.000 4.747
Pu 0.000 3.218 2.374
Pu 2.787 1.609 7.121
Hf 0.000 3.218 7.121
Hf 2.787 1.609 2.374
O -0.941 1.692 6.031
O -1.792 3.166 8.211
O 0.941 1.692 8.211
O -0.851 4.795 6.031
O 1.936 0.032 1.283
O 0.995 1.661 3.464
O 1.792 3.166 6.031
O 0.851 4.795 8.211
O 3.638 0.032 3.464
O 1.846 3.135 1.283
O 4.579 1.661 1.283
O 3.727 3.135 3.464
```

**Density of states at the Fermi level**: 19.6 states/eV per cell
**Total energy**: -9.699 eV per atom
**Theoretical density**: 8885 kg/m³
**Space-group type**: P-31c, No. 163

A geometry-optimized HoHfSi2O8 structure. Source: Alexandria, functional GGA-PBE.

Structure (extended XYZ):
```
12
Lattice="-3.401 3.401 3.043 3.401 -3.401 3.043 3.401 3.401 -3.043" Properties=species:S:1:pos:R:3 pbc="T T T"
Ho 0.000 0.000 0.000
Hf 3.401 0.000 1.522
Si 0.000 0.000 3.043
Si 0.000 3.401 1.522
O 2.108 3.401 -1.020
O 1.293 0.000 2.023
O 0.000 2.198 0.416
O 3.401 2.108 1.020
O 0.000 4.604 0.416
O 0.000 1.293 4.064
O -1.203 3.401 2.628
O 1.203 3.401 2.628
```

**Density of states at the Fermi level**: 8.4 states/eV per cell
**Total energy**: -8.400 eV per atom
**Theoretical density**: 6222 kg/m³
**Space-group type**: I-4m2, No. 119

A geometry-optimized HoHfTi2O8 structure. Source: Alexandria, functional GGA-PBE.

Structure (extended XYZ):
```
12
Lattice="-3.502 3.502 3.229 3.502 -3.502 3.229 3.502 3.502 -3.229" Properties=species:S:1:pos:R:3 pbc="T T T"
Ho 0.000 0.000 0.000
Hf 3.502 0.000 1.614
Ti 0.000 0.000 3.229
Ti 0.000 3.502 1.614
O 2.086 3.502 -1.145
O 1.417 0.000 2.084
O 0.000 2.211 0.336
O 3.502 2.086 1.145
O 0.000 4.793 0.336
O 0.000 1.417 4.374
O -1.291 3.502 2.892
O 1.291 3.502 2.892
```

**Density of states at the Fermi level**: 7.7 states/eV per cell
**Total energy**: -8.850 eV per atom
**Theoretical density**: 5945 kg/m³
**Space-group type**: I-4m2, No. 119

A geometry-optimized HoHf4Os5 structure. Source: Alexandria, functional GGA-PBE.

Structure (extended XYZ):
```
10
Lattice="3.270 0.000 0.000 0.000 3.270 0.000 0.000 0.000 16.525" Properties=species:S:1:pos:R:3 pbc="T T T"
Ho 0.000 0.000 0.000
Hf 0.000 0.000 3.356
Hf 0.000 0.000 6.629
Hf 0.000 0.000 9.896
Hf 0.000 0.000 13.169
Os 1.635 1.635 1.848
Os 1.635 1.635 5.045
Os 1.635 1.635 8.262
Os 1.635 1.635 11.480
Os 1.635 1.635 14.676
```

**Density of states at the Fermi level**: 2.1 states/eV per cell
**Total energy**: -10.662 eV per atom
**Theoretical density**: 17202 kg/m³
**Space-group type**: P4/mmm, No. 123

A geometry-optimized HoHfOsPd structure. Source: Alexandria, functional GGA-PBE.

Structure (extended XYZ):
```
4
Lattice="0.000 3.356 3.356 3.356 0.000 3.356 3.356 3.356 0.000" Properties=species:S:1:pos:R:3 pbc="T T T"
Ho 0.000 0.000 0.000
Hf 3.356 3.356 3.356
Os 5.033 5.033 5.033
Pd 1.678 1.678 1.678
```

**Density of states at the Fermi level**: 1.3 states/eV per cell
**Total energy**: -8.339 eV per atom
**Theoretical density**: 14065 kg/m³
**Space-group type**: F-43m, No. 216

A geometry-optimized HoHfOsRh structure. Source: Alexandria, functional GGA-PBE.

Structure (extended XYZ):
```
4
Lattice="0.000 3.324 3.324 3.324 0.000 3.324 3.324 3.324 0.000" Properties=species:S:1:pos:R:3 pbc="T T T"
Ho 0.000 0.000 0.000
Hf 3.324 3.324 3.324
Os 1.662 1.662 1.662
Rh 4.987 4.987 4.987
```

**Density of states at the Fermi level**: 1.3 states/eV per cell
**Total energy**: -8.936 eV per atom
**Theoretical density**: 14386 kg/m³
**Space-group type**: F-43m, No. 216

A geometry-optimized HoHfP2 structure. Source: Alexandria, functional GGA-PBE.

Structure (extended XYZ):
```
4
Lattice="1.906 1.100 6.316 -1.906 1.100 6.316 0.000 -2.201 6.316" Properties=species:S:1:pos:R:3 pbc="T T T"
Ho 0.000 0.000 0.000
Hf 0.000 0.000 9.474
P 0.000 0.000 4.632
P 0.000 0.000 14.316
```

**Density of states at the Fermi level**: 1.4 states/eV per cell
**Total energy**: -7.789 eV per atom
**Distance to the lowest polymorph of the same formula**: 0.000 eV/atom
**Theoretical density**: 8469 kg/m³
**Space-group type**: R-3m, No. 166